Entry 1:
The following is a DFT calculation (SCAN) of LaTiPd2C at its PBEsol-relaxed geometry.

abc: 4.227 4.351 4.351
angles: 90.00 90.00 90.00
Fractional coordinates of all 5 atoms:
Pd 0.000 0.500 0.000
Pd 0.000 0.000 0.500
La 0.500 0.500 0.500
C 0.000 0.000 0.000
Ti 0.500 0.000 0.000

Values from the calculation:
energy of formation: -207 meV per atom

Entry 2:
The following is a DFT calculation (SCAN) of Mg2PPb at its PBEsol-relaxed geometry.

abc: 3.788 4.777 5.909
angles: 110.96 90.00 113.36
Fractional coordinates of all 4 atoms:
Mg 0.003 0.006 0.976
Mg 0.185 0.370 0.582
Pb 0.794 0.587 0.245
P 0.518 0.037 0.698

Values from the calculation:
energy of formation: -284 meV per atom

Entry 3:
The following is a DFT calculation (SCAN) of P3IrO9 at its PBEsol-relaxed geometry.

abc: 9.405 10.564 11.651
angles: 113.39 109.89 98.03
Fractional coordinates of all 78 atoms:
O 0.974 0.626 0.123
O 0.167 0.404 0.628
O 0.208 0.449 0.417
O 0.725 0.525 0.144
O 0.391 0.306 0.707
O 0.055 0.891 0.644
O 0.881 0.140 0.775
O 0.808 0.904 0.416
O 0.236 0.836 0.281
O 0.409 0.708 0.528
O 0.016 0.994 0.956
O 0.911 0.247 0.356
O 0.072 0.160 0.665
O 0.581 0.165 0.665
O 0.361 0.206 0.268
O 0.230 0.621 0.037
O 0.333 0.912 0.808
O 0.515 0.742 0.278
O 0.832 0.141 0.011
O 0.226 0.903 0.067
O 0.665 0.837 0.536
O 0.906 0.495 0.335
O 0.046 0.054 0.381
O 0.291 0.032 0.583
O 0.497 0.807 0.063
O 0.510 0.034 0.325
O 0.353 0.414 0.041
O 0.892 0.488 0.584
O 0.593 0.938 0.732
O 0.380 0.180 0.472
O 0.738 0.464 0.722
O 0.077 0.790 0.805
O 0.025 0.104 0.192
O 0.081 0.381 0.856
O 0.165 0.673 0.619
O 0.723 0.641 0.375
O 0.415 0.500 0.335
O 0.560 0.039 0.044
O 0.934 0.744 0.937
O 0.455 0.555 0.719
O 0.629 0.301 0.464
O 0.525 0.167 0.898
O 0.848 0.266 0.625
O 0.127 0.268 0.102
O 0.693 0.584 0.963
O 0.351 0.504 0.877
O 0.039 0.777 0.372
O 0.606 0.365 0.225
O 0.812 0.373 0.959
O 0.183 0.598 0.293
O 0.772 0.986 0.195
O 0.321 0.130 0.989
O 0.686 0.709 0.675
O 0.659 0.836 0.933
P 0.595 0.799 0.628
P 0.436 0.071 0.935
P 0.150 0.814 0.708
P 0.000 0.136 0.065
P 0.796 0.518 0.036
P 0.065 0.854 0.949
P 0.942 0.106 0.292
P 0.339 0.447 0.725
P 0.467 0.171 0.372
P 0.616 0.905 0.051
P 0.969 0.226 0.729
P 0.740 0.497 0.271
P 0.784 0.392 0.607
P 0.676 0.784 0.393
P 0.410 0.162 0.607
P 0.260 0.481 0.964
P 0.114 0.722 0.275
P 0.303 0.555 0.393
Ir 0.705 0.155 0.840
Ir 0.371 0.826 0.176
Ir 0.695 0.650 0.824
Ir 0.039 0.460 0.489
Ir 0.365 0.315 0.160
Ir 0.050 0.971 0.511

Values from the calculation:
formation energy from raw total energies: -1.994 eV per atom

Entry 4:
The following is a DFT calculation (SCAN) of MoPPdRu2 at its PBEsol-relaxed geometry.

abc: 4.516 4.516 4.712
angles: 90.00 90.00 90.00
Fractional coordinates of all 5 atoms:
Ru 0.000 0.500 0.000
Ru 0.500 0.000 0.000
P 0.500 0.500 0.500
Pd 0.000 0.000 0.500
Mo 0.000 0.000 0.000

Values from the calculation:
energy of formation: 1768 meV per atom